Compound: Pr2MoPbO8
Source: Alexandria via LeMat-Bulk
Functional: PBE with a Hubbard U
Structure: relaxed

## Properties
**DFT total energy**: -7.070 eV/atom

Unit cell a=5.0458 b=5.0389 c=7.1194 alpha=88.89 beta=88.86 gamma=93.14
Fractional positions:
O  0.8565  0.2107  0.7897
O  0.7278  0.7259  0.9620
O  0.7876  0.1430  0.2094
O  0.2124  0.8570  0.7906
O  0.7073  0.7067  0.5249
O  0.2927  0.2933  0.4751
O  0.2722  0.2741  0.0380
O  0.1435  0.7893  0.2103
Pb  0.0000  0.0000  0.5000
Pr  0.4547  0.4536  0.7602
Pr  0.5453  0.5464  0.2398
Mo  0.0000  0.0000  0.0000